# ZrHgSe2 PBE relaxed
data_ZrHgSe2
_space_group_name_H-M_alt 'C 1 2/c 1'
_space_group_IT_number 15
_cell_length_a 11.025
_cell_length_b 6.965
_cell_length_c 6.897
_cell_angle_alpha 90.00
_cell_angle_beta 117.67
_cell_angle_gamma 90.00
loop_
_space_group_symop_operation_xyz
'x,y,z'
'-x,-y,-z'
'-x,y,-z+1/2'
'x,-y,z+1/2'
'x+1/2,y+1/2,z'
'-x+1/2,-y+1/2,-z'
'-x+1/2,y+1/2,-z+1/2'
'x+1/2,-y+1/2,z+1/2'
loop_
_atom_site_label
_atom_site_type_symbol
_atom_site_fract_x
_atom_site_fract_y
_atom_site_fract_z
_atom_site_occupancy
Zr1 Zr 0.000 0.082 0.250 1
Hg1 Hg 0.000 0.492 0.750 1
Se1 Se 0.155 0.150 0.676 1
# - ΔE_f (raw) (eV/atom) = -0.796
# - energy above the lowest structure with this stoichiometry (meV per atom) = 195